1.
VASP calculation (PBE) on a relaxed structure of TiAg2I6O18.

abc: 7.4973 7.4973 7.4973
angles: 95.44 95.44 95.44
Closest atoms and distances in Å follow each position.
Fractional positions:
Ti 0.0000 0.0000 0.0000  6 O 1.97
Ag 0.3077 0.3077 0.3077  3 O 2.55
Ag 0.6923 0.6923 0.6923  3 O 2.55
I 0.1700 0.3699 0.7787  3 O 1.83-1.91
I 0.2213 0.8300 0.6301  3 O 1.83-1.91
I 0.3699 0.7787 0.1700  3 O 1.83-1.91
I 0.6301 0.2213 0.8300  3 O 1.83-1.91
I 0.7787 0.1700 0.3699  3 O 1.83-1.91
I 0.8300 0.6301 0.2213  3 O 1.83-1.91
O 0.0664 0.8171 0.8182  1 I 1.91, 1 Ti 1.97
O 0.1401 0.2161 0.5702  1 I 1.83
O 0.1818 0.9336 0.1829  1 I 1.91, 1 Ti 1.97
O 0.1829 0.1818 0.9336  1 I 1.91, 1 Ti 1.97
O 0.1884 0.5846 0.5701  1 I 1.84
O 0.2161 0.5702 0.1401  1 I 1.83
O 0.4154 0.4299 0.8116  1 I 1.84
O 0.4299 0.8116 0.4154  1 I 1.84
O 0.4298 0.8599 0.7839  1 I 1.83
O 0.5702 0.1401 0.2161  1 I 1.83
O 0.5701 0.1884 0.5846  1 I 1.84
O 0.5846 0.5701 0.1884  1 I 1.84
O 0.7839 0.4298 0.8599  1 I 1.83
O 0.8116 0.4154 0.4299  1 I 1.84
O 0.8171 0.8182 0.0664  1 I 1.91, 1 Ti 1.97
O 0.8182 0.0664 0.8171  1 I 1.91, 1 Ti 1.97
O 0.8599 0.7839 0.4298  1 I 1.83
O 0.9336 0.1829 0.1818  1 I 1.91, 1 Ti 1.97

- formation energy from raw total energies (eV/f.u.) = -15.193
- space group = R-3 (148)
- D(E_F) (states/eV/atom) = 0.00

---

2.
VASP calculation (PBE) on a relaxed structure of KScMo2H.

abc: 3.9836 3.9836 5.1744
angles: 90.00 90.00 90.00
Closest atoms and distances in Å follow each position.
Fractional positions:
K 0.0000 0.0000 0.0000  2 H 2.59, 4 Sc 2.82
Sc 0.5000 0.5000 0.0000  4 K 2.82
Mo 0.0000 0.5000 0.5000  2 H 1.99
Mo 0.5000 0.0000 0.5000  2 H 1.99
H 0.0000 0.0000 0.5000  4 Mo 1.99

- E_tot (eV/cell) = -28.3
- space group = P4/mmm (123)
- D(E_F) (states/eV/atom) = 0.66

---

3.
VASP calculation (PBE) on a relaxed structure of Pr3Er12Al.

abc: 4.9414 4.9414 19.9833
angles: 90.00 90.00 90.00
Closest atoms and distances in Å follow each position.
Fractional positions:
Pr 0.0000 0.0000 0.0000  12 Er 3.49-3.56
Pr 0.0000 0.0000 0.2540  12 Er 3.50-3.60
Pr 0.0000 0.0000 0.7460  12 Er 3.50-3.60
Er 0.0000 0.5000 0.1283  8 Er 3.49-3.60, 4 Pr 3.52-3.56
Er 0.0000 0.5000 0.3849  8 Er 3.38-3.52, 2 Al 3.38, 2 Pr 3.60
Er 0.0000 0.5000 0.6151  8 Er 3.38-3.52, 2 Al 3.38, 2 Pr 3.60
Er 0.0000 0.5000 0.8717  8 Er 3.49-3.60, 4 Pr 3.52-3.56
Er 0.5000 0.0000 0.1283  8 Er 3.49-3.60, 4 Pr 3.52-3.56
Er 0.5000 0.0000 0.3849  8 Er 3.38-3.52, 2 Al 3.38, 2 Pr 3.60
Er 0.5000 0.0000 0.6151  8 Er 3.38-3.52, 2 Al 3.38, 2 Pr 3.60
Er 0.5000 0.0000 0.8717  8 Er 3.49-3.60, 4 Pr 3.52-3.56
Er 0.5000 0.5000 0.0000  4 Pr 3.49, 8 Er 3.56
Er 0.5000 0.5000 0.2593  4 Pr 3.50, 8 Er 3.52-3.60
Er 0.5000 0.5000 0.5000  8 Er 3.38, 4 Al 3.49
Er 0.5000 0.5000 0.7407  4 Pr 3.50, 8 Er 3.52-3.60
Al 0.0000 0.0000 0.5000  12 Er 3.38-3.49

- ΔH_f (0 K) (eV per atom) = -0.01
- space group = P4/mmm (123)
- D(E_F) (states/eV/atom) = 1.31

---

4.
VASP calculation (PBE) on a relaxed structure of GaSiH3.

abc: 3.6681 3.6681 3.6681
angles: 90.00 90.00 90.00
Closest atoms and distances in Å follow each position.
Fractional positions:
Ga 0.0000 0.0000 0.0000  12 H 2.59
Si 0.5000 0.5000 0.5000  6 H 1.83
H 0.0000 0.5000 0.5000  2 Si 1.83
H 0.5000 0.0000 0.5000  2 Si 1.83
H 0.5000 0.5000 0.0000  2 Si 1.83

- E_tot (eV/cell) = -16.1
- space group = Pm-3m (221)
- D(E_F) (states/eV/atom) = 0.35